Zr3HF (PBE, optimized geometry); volume = 84 Å³ per cell; electronic total energy = -0.2347 Ha/atom; crystal system = cubic
1.0
-1.444 4.123 0.313
-3.365 -1.364 2.450
2.404 0.568 3.617
H Zr F
1 3 1
Cartesian
0.000 0.000 0.000
-1.682 -0.682 1.225
1.202 0.284 1.809
-0.722 2.062 0.156
-1.203 1.663 3.190

---

Tb5SmCd2 (PBE, optimized geometry); volume = 240 Å³ per cell; E_form = -0.079 eV/atom; crystal system = orthorhombic
1.0
3.614 0.000 0.000
1.807 8.191 -0.523
1.807 1.965 7.969
Tb Sm Cd
5 1 2
Cartesian
1.807 5.078 3.723
3.614 5.098 0.812
3.614 5.059 6.633
3.614 7.848 2.829
3.614 2.308 4.617
0.000 0.000 0.000
5.421 7.750 5.681
1.807 2.407 1.764

---

SnRh2N (PBE, optimized geometry); volume = 58 Å³ per cell; raw formation energy = 0.83 eV/atom; crystal system = cubic
1.0
0.000 3.074 3.074
3.074 0.000 3.074
3.074 3.074 0.000
Rh Sn N
2 1 1
Cartesian
1.537 1.537 1.537
4.611 4.611 4.611
3.074 3.074 3.074
0.000 0.000 0.000